Record 1
The following is a PBE calculation of crystalline BeIr2Pb at its relaxed geometry, from the Alexandria database.

Values from the calculation:
ΔE to the lowest computed polymorph   30 kJ/mol of formula units

a b c (Å): 2.911 3.580 6.237
angles (deg): 90.00 90.00 90.00
Space group Pmm2 (No. 25)
Inequivalent atoms, fractional coordinates:
Be  0.000  0.000  0.000 (multiplicity 1)
Ir  0.000  0.000  0.365 (multiplicity 1)
Ir  0.500  0.500  0.079 (multiplicity 1)
Pb  0.500  0.500  0.633 (multiplicity 1)

Record 2
The following is a PBE calculation of crystalline Al2Tc2Hg at its relaxed geometry, from the Alexandria database.

Values from the calculation:
ΔE to the lowest computed polymorph   4 kJ/mol of formula units

a b c (Å): 6.887 6.887 3.305
angles (deg): 90.00 90.00 90.00
Space group P4/mbm (No. 127)
Inequivalent atoms, fractional coordinates:
Al  0.131  0.369  0.000 (multiplicity 4)
Tc  0.164  0.664  0.500 (multiplicity 4)
Hg  0.000  0.000  0.000 (multiplicity 2)

Record 3
The following is a PBE calculation of crystalline TiTcGe3 at its relaxed geometry, from the Alexandria database.

Values from the calculation:
ΔE to the lowest computed polymorph   0 kJ/mol of formula units

a b c (Å): 3.528 8.086 6.216
angles (deg): 90.00 103.35 90.00
Space group P2_1/m (No. 11)
Inequivalent atoms, fractional coordinates:
Ti  0.038  0.250  0.475 (multiplicity 2)
Tc  0.272  0.250  0.061 (multiplicity 2)
Ge  0.182  0.516  0.806 (multiplicity 4)
Ge  0.342  0.750  0.235 (multiplicity 2)

Record 4
The following is a PBE calculation of crystalline UPaTcRu at its relaxed geometry, from the Alexandria database.

Values from the calculation:
Total DFT energy (no corrections)   -10.24 eV/atom

a b c (Å): 6.802 6.802 6.802
angles (deg): 90.00 90.00 90.00
Space group F-43m (No. 216)
Inequivalent atoms, fractional coordinates:
U  0.000  0.000  0.000 (multiplicity 4)
Pa  0.000  0.000  0.500 (multiplicity 4)
Tc  0.250  0.250  0.250 (multiplicity 4)
Ru  0.250  0.250  0.750 (multiplicity 4)

Record 5
The following is a PBE calculation of crystalline Cs2Pu3CuO12 at its relaxed geometry, from the Alexandria database.

Values from the calculation:
Formation energy without anion corrections   -2142 meV/atom

a b c (Å): 7.8875 7.8875 17.7016
angles (deg): 90.00 90.00 120.00
Space group R-3m (No. 166, hexagonal axes)
Inequivalent atoms, fractional coordinates:
Cs  0.0000  0.0000  0.1242 (multiplicity 6)
Pu  0.0000  0.5000  0.0000 (multiplicity 9)
Cu  0.0000  0.0000  0.5000 (multiplicity 3)
O  0.0758  0.5379  0.3571 (multiplicity 18)
O  0.0783  0.5391  0.1017 (multiplicity 18)

Record 6
The following is a PBE calculation of crystalline TlPt2Pb8 at its relaxed geometry, from the Alexandria database.

Values from the calculation:
Total DFT energy (no corrections)   -4.08 eV/atom

a b c (Å): 8.978 12.972 5.543
angles (deg): 90.00 102.18 90.00
Space group C2/m (No. 12)
Inequivalent atoms, fractional coordinates:
Tl  0.000  0.000  0.000 (multiplicity 2)
Pt  0.000  0.319  0.500 (multiplicity 4)
Pb  0.000  0.250  0.000 (multiplicity 4)
Pb  0.117  0.500  0.800 (multiplicity 4)
Pb  0.204  0.132  0.608 (multiplicity 8)

Record 7
The following is a PBE calculation of crystalline NaMgP2S at its relaxed geometry, from the Alexandria database.

Values from the calculation:
ΔE to the lowest computed polymorph   0 kJ/mol of formula units
Formation energy without anion corrections   329 meV/atom

a b c (Å): 4.864 4.864 4.956
angles (deg): 90.00 90.00 90.00
Space group P4/mmm (No. 123)
Inequivalent atoms, fractional coordinates:
Na  0.000  0.000  0.000 (multiplicity 1)
Mg  0.500  0.500  0.500 (multiplicity 1)
P  0.000  0.500  0.500 (multiplicity 2)
S  0.500  0.500  0.000 (multiplicity 1)

Record 8
The following is a PBE calculation of crystalline VRuW at its relaxed geometry, from the Alexandria database.

Values from the calculation:
ΔE to the lowest computed polymorph   3 kJ/mol of formula units

a b c (Å): 4.3357 4.3357 5.3646
angles (deg): 90.00 90.00 120.00
Space group P3m1 (No. 156)
Inequivalent atoms, fractional coordinates:
V  0.0000  0.0000  0.0000 (multiplicity 1)
V  0.3333  0.6667  0.3350 (multiplicity 1)
Ru  0.3333  0.6667  0.8532 (multiplicity 1)
Ru  0.6667  0.3333  0.1577 (multiplicity 1)
W  0.0000  0.0000  0.4953 (multiplicity 1)
W  0.6667  0.3333  0.6623 (multiplicity 1)

Record 9
The following is a PBE calculation of crystalline K2USnS5 at its relaxed geometry, from the Alexandria database.

Values from the calculation:
Formation energy without anion corrections   -1043 meV/atom

a b c (Å): 4.085 17.758 14.077
angles (deg): 90.00 90.00 90.00
Space group Cmc2_1 (No. 36)
Inequivalent atoms, fractional coordinates:
K  0.000  0.115  0.000 (multiplicity 4)
K  0.000  0.139  0.585 (multiplicity 4)
U  0.000  0.219  0.304 (multiplicity 4)
Sn  0.000  0.498  0.751 (multiplicity 4)
S  0.000  0.059  0.332 (multiplicity 4)
S  0.000  0.286  0.926 (multiplicity 4)
S  0.000  0.299  0.685 (multiplicity 4)
S  0.000  0.368  0.305 (multiplicity 4)
S  0.000  0.496  0.084 (multiplicity 4)

Record 10
The following is a PBE calculation of crystalline Tm2NpZn at its relaxed geometry, from the Alexandria database.

Values from the calculation:
Total DFT energy (no corrections)   -5.69 eV/atom

a b c (Å): 3.340 3.340 8.782
angles (deg): 90.00 90.00 90.00
Space group P4/mmm (No. 123)
Inequivalent atoms, fractional coordinates:
Tm  0.000  0.000  0.218 (multiplicity 2)
Np  0.500  0.500  0.500 (multiplicity 1)
Zn  0.500  0.500  0.000 (multiplicity 1)

Record 11
The following is a PBE calculation of crystalline Ba2LiLa at its relaxed geometry, from the Alexandria database.

Values from the calculation:
ΔE to the lowest computed polymorph   58 kJ/mol of formula units

a b c (Å): 5.536 5.536 11.776
angles (deg): 90.00 90.00 90.00
Space group I4/mmm (No. 139)
Inequivalent atoms, fractional coordinates:
Ba  0.000  0.500  0.250 (multiplicity 4)
Li  0.000  0.000  0.000 (multiplicity 2)
La  0.000  0.000  0.500 (multiplicity 2)

Record 12
The following is a PBE calculation of crystalline PmDyTeS at its relaxed geometry, from the Alexandria database.

Values from the calculation:
Formation energy without anion corrections   -1555 meV/atom

a b c (Å): 4.0064 4.0064 22.8277
angles (deg): 90.00 90.00 120.00
Space group R3m (No. 160, hexagonal axes)
Inequivalent atoms, fractional coordinates:
Pm  0.0000  0.0000  0.0000 (multiplicity 3)
Dy  0.0000  0.0000  0.1546 (multiplicity 3)
Te  0.0000  0.0000  0.5740 (multiplicity 3)
S  0.0000  0.0000  0.7487 (multiplicity 3)